# Y2Pd3Au3

Y2Pd3Au3 after structural relaxation (PBE, Alexandria).

Calculated values
The energy relative to the lowest polymorph listed for this composition comes out at 87 meV/atom. The calculation puts the total magnetic moment at 0.000 μB per atom. The formation energy is -0.636 eV per atom. The density comes out at 11.18 Mg/m³.

```
data_Y2Pd3Au3
_symmetry_space_group_name_H-M 'C m c m'
_symmetry_Int_Tables_number 63
_symmetry_space_group_name_Hall '-C 2c 2'
_cell_length_a 4.9552
_cell_length_b 9.3614
_cell_length_c 13.9358
_cell_angle_alpha 90.00
_cell_angle_beta 90.00
_cell_angle_gamma 90.00
loop_
_atom_site_label
_atom_site_type_symbol
_atom_site_fract_x
_atom_site_fract_y
_atom_site_fract_z
_atom_site_occupancy
Y1 Y 0.0000 0.2411 0.1110 1
Pd1 Pd 0.0000 0.4051 0.5724 1
Pd2 Pd 0.0000 0.4583 0.2500 1
Au1 Au 0.0000 0.0843 0.5814 1
Au2 Au 0.0000 0.2382 0.7500 1
```